1.
Entry from Alexandria: an optimized crystal structure of Hf6PtC (PBE).

Cell: 5.7272 5.7406 6.0231 Å, 90.67 113.72 113.22°
Space group P-1 (No. 2)
Symmetry-distinct sites (fractional):
Hf (0.0706, 0.1374, 0.2691) (multiplicity 2)
Hf (0.2876, 0.5157, 0.7403) (multiplicity 2)
Hf (0.2907, 0.7191, 0.2629) (multiplicity 2)
Pt (0.5000, 0.0000, 0.0000) (multiplicity 1)
C (0.5000, 0.5000, 0.5000) (multiplicity 1)

Summary:
D(E_F), states/eV per cell: 6.32
ΔH_f (0 K), eV/atom: -0.27
Total energy, eV/cell: -77.1

***

2.
Entry from Alexandria: an optimized crystal structure of Hf3PtC (PBE).

Cell: 4.4272 4.4272 4.4272 Å, 90.00 90.00 90.00°
Space group Pm-3m (No. 221)
Symmetry-distinct sites (fractional):
Hf (0.0000, 0.0000, 0.5000) (multiplicity 3)
Pt (0.5000, 0.5000, 0.5000) (multiplicity 1)
C (0.0000, 0.0000, 0.0000) (multiplicity 1)

Summary:
D(E_F), states/eV per cell: 1.66
Offset from the most stable computed form, meV/atom: 180.0
ΔH_f (0 K), eV/atom: -0.73
Total energy, eV/cell: -48.8

***

3.
Entry from Alexandria: an optimized crystal structure of Hf12Pt5C2 (PBE).

Cell: 15.2895 6.6535 7.9944 Å, 90.00 105.74 90.00°
Space group C2/m (No. 12)
Symmetry-distinct sites (fractional):
Hf (0.9996, 0.0000, 0.1979) (multiplicity 4)
Hf (0.0034, 0.5000, 0.8218) (multiplicity 4)
Hf (0.1451, 0.2534, 0.5651) (multiplicity 8)
Hf (0.1564, 0.2572, 0.0878) (multiplicity 8)
Pt (0.0000, 0.5000, 0.5000) (multiplicity 2)
Pt (0.1904, 0.0000, 0.8388) (multiplicity 4)
Pt (0.2059, 0.0000, 0.3592) (multiplicity 4)
C (0.0000, 0.2362, 0.0000) (multiplicity 4)

Summary:
D(E_F), states/eV per cell: 30.42
ΔH_f (0 K), eV/atom: -0.61
Total energy, eV/cell: -359.2

***

| no. | density (g cm⁻³) |
| --- | --- |
| 1 | 13.01 |
| 2 | 14.21 |
| 3 | 13.33 |